Compound: BeCdBr
Source: Alexandria via LeMat-Bulk
Functional: PBE
Structure: optimized geometry

The space group is P3m1 (No. 156) and the conventional cell measures 3.4365, 3.4365 and 6.6064 Å, with angles of 90.00, 90.00 and 120.00 degrees. The distinct sites, in fractional coordinates, are Be at (0.0000, 0.0000, 0.0000), Cd at (0.6667, 0.3333, 0.7346) and Br at (0.3333, 0.6667, 0.2019).

The value obtained for the uncorrected formation energy is 0.076 eV/atom. The value obtained for the total magnetization is 0.00 μB per atom.

=====

Compound: BeCdBr4
Source: Alexandria via LeMat-Bulk
Functional: PBE
Structure: optimized geometry

The space group is F-43m (No. 216) and the conventional cell measures 9.0076, 9.0076 and 9.0076 Å, with angles of 90.00, 90.00 and 90.00 degrees. The distinct sites, in fractional coordinates, are Be at (0.0000, 0.0000, 0.0000), Cd at (0.2500, 0.2500, 0.2500) and Br at (0.1249, 0.1249, 0.6249).

The value obtained for the uncorrected formation energy is 0.877 eV/atom. The value obtained for the total magnetization is 0.49 μB per atom.